Version A
10
Lattice="-3.8766 -5.7920 -4.9435 7.1106 -0.7684 -4.6758 1.7735 -4.0582 3.3639" Properties=species:S:1:pos:R:3 comment="Ba2Na2Bi (PBE, relaxed)" magmom_total_mub_per_fu=0.000 pbc="T T T"
Na 4.7588 -2.8256 -5.9176
Na 1.0835 -5.5339 -7.2472
Na -1.5248 -3.7348 -3.7016
Na 2.1505 -1.0265 -2.3721
Bi 0.0000 0.0000 0.0000
Bi 1.6170 -3.2802 -4.8096
Ba 5.0609 -3.6686 -2.4965
Ba 3.9567 -6.6547 -5.5168
Ba -0.0534 -6.9500 -3.7588
Ba 1.0508 -3.9639 -0.7385

Version B
10
Lattice="-3.4017 8.5513 -0.7971 -4.9333 -1.2437 7.7102 4.7374 2.2001 3.3860" Properties=species:S:1:pos:R:3 comment="Ba2Na2Bi (PBE, relaxed)" magmom_total_mub_per_fu=0.000 pbc="T T T"
Na -1.2763 1.5113 6.5254
Na -4.0489 5.5167 7.8020
Na -2.3213 7.9964 3.7737
Na 0.4513 3.9910 2.4971
Bi 0.0000 0.0000 0.0000
Bi -4.1675 3.6538 3.4565
Ba -5.2542 1.8221 6.1671
Ba -6.1219 6.3078 4.4665
Ba -3.0808 5.4855 0.7460
Ba -2.2131 0.9998 2.4466

Version C
5
Lattice="4.5657 0.0000 0.0000 0.0000 4.5657 0.0000 2.2828 2.2828 10.8922" Properties=species:S:1:pos:R:3 comment="Ba2Na2Bi (PBE, relaxed)" magmom_total_mub_per_fu=0.000 pbc="T T T"
Na 4.5657 2.2828 5.4461
Na 2.2828 4.5657 5.4461
Bi 0.0000 0.0000 0.0000
Ba 2.2828 2.2828 1.8211
Ba 4.5657 4.5657 9.0711

Quick ranking, most stable first: version C, version A, version B.